Record 1
The following is a DFT calculation (PBE) of a relaxed structure of As3PAu.

Lattice parameters (Å, degrees): 4.743 4.743 4.743 90.00 90.00 90.00
Space group Pm-3m (No. 221)
Unique sites:
As 0.000 0.000 0.500 x3
P 0.000 0.000 0.000 x1
Au 0.500 0.500 0.500 x1

## Properties
distance to the lowest polymorph of the same formula = 0.00 eV/f.u.
DOS at the Fermi energy = 4.26 states/eV per cell
formation energy from the elements = 781 meV per atom


Record 2
The following is a DFT calculation (PBE) of a relaxed structure of NbCuI2O.

Lattice parameters (Å, degrees): 5.651 5.651 3.895 90.00 90.00 90.00
Space group P4/mmm (No. 123)
Unique sites:
Nb 0.000 0.000 0.000 x1
Cu 0.500 0.500 0.500 x1
I 0.000 0.500 0.000 x2
O 0.000 0.000 0.500 x1

## Properties
formation energy (no corrections) = -0.33 eV/atom
distance to the lowest polymorph of the same formula = 0.00 eV/f.u.
DOS at the Fermi energy = 3.24 states/eV per cell


Record 3
The following is a DFT calculation (PBE) of a relaxed structure of YbSbPd.

Lattice parameters (Å, degrees): 6.636 6.636 6.636 90.00 90.00 90.00
Space group F-43m (No. 216)
Unique sites:
Yb 0.000 0.000 0.000 x4
Sb 0.000 0.000 0.500 x4
Pd 0.250 0.250 0.750 x4

## Properties
formation energy (no corrections) = -0.90 eV/atom
DOS at the Fermi energy = 65.13 states/eV per cell


Record 4
The following is a DFT calculation (PBE) of a relaxed structure of Nd2Ho5Th2.

Lattice parameters (Å, degrees): 14.914 11.912 6.659 90.00 90.00 90.00
Space group Ima2 (No. 46)
Unique sites:
Nd 0.125 0.002 0.000 x8
Ho 0.054 0.742 0.160 x8
Ho 0.143 0.226 0.353 x8
Ho 0.250 0.733 0.357 x4
Th 0.000 0.000 0.462 x4
Th 0.250 0.001 0.537 x4

## Properties
distance to the lowest polymorph of the same formula = 0.00 eV/f.u.
DOS at the Fermi energy = 55.81 states/eV per cell
formation energy from the elements = 240 meV per atom


Record 5
The following is a DFT calculation (PBE) of a relaxed structure of Pm2ThZr.

Lattice parameters (Å, degrees): 3.4441 3.4441 36.1400 90.00 90.00 120.00
Space group R-3m (No. 166, hexagonal axes)
Unique sites:
Pm 0.0000 0.0000 0.0869 x6
Th 0.0000 0.0000 0.5000 x3
Zr 0.0000 0.0000 0.0000 x3

## Properties
distance to the lowest polymorph of the same formula = 0.74 eV/f.u.
DOS at the Fermi energy = 17.19 states/eV per cell
formation energy from the elements = 326 meV per atom


Record 6
The following is a DFT calculation (PBE) of a relaxed structure of NaTiAg2Ge.

Lattice parameters (Å, degrees): 4.970 4.970 4.963 90.00 90.00 90.00
Space group P4/mmm (No. 123)
Unique sites:
Na 0.000 0.000 0.000 x1
Ti 0.500 0.500 0.000 x1
Ag 0.000 0.500 0.500 x2
Ge 0.500 0.500 0.500 x1

## Properties
DOS at the Fermi energy = 5.84 states/eV per cell
formation energy from the elements = 365 meV per atom


Record 7
The following is a DFT calculation (PBE) of a relaxed structure of Ba4LiNd3O8.

Lattice parameters (Å, degrees): 7.3517 7.3517 18.7375 90.00 90.00 120.00
Space group R-3m (No. 166, hexagonal axes)
Unique sites:
Ba 0.0000 0.0000 0.0000 x3
Ba 0.0000 0.5000 0.0000 x9
Li 0.0000 0.0000 0.5000 x3
Nd 0.0000 0.5000 0.5000 x9
O 0.0000 0.0000 0.2351 x6
O 0.0135 0.5068 0.7634 x18

## Properties
formation energy (no corrections) = -2.56 eV/atom
DOS at the Fermi energy = 15.64 states/eV per cell


Record 8
The following is a DFT calculation (PBE) of a relaxed structure of ZnCu7Sb2Au2.

Lattice parameters (Å, degrees): 5.202 5.196 14.405 90.00 99.83 90.00
Space group C2/m (No. 12)
Unique sites:
Zn 0.000 0.000 0.000 x2
Cu 0.000 0.500 0.000 x2
Cu 0.187 0.251 0.871 x8
Cu 0.222 0.500 0.458 x4
Sb 0.175 0.000 0.360 x4
Au 0.130 0.500 0.265 x4

## Properties
formation energy (no corrections) = 0.06 eV/atom
DOS at the Fermi energy = 10.97 states/eV per cell


Record 9
The following is a DFT calculation (PBE) of a relaxed structure of Te2AsW.

Lattice parameters (Å, degrees): 5.711 5.711 5.937 90.00 90.00 90.00
Space group I4/mmm (No. 139)
Unique sites:
Te 0.000 0.500 0.000 x4
As 0.000 0.000 0.000 x2
W 0.000 0.000 0.500 x2

## Properties
formation energy (no corrections) = 0.81 eV/atom
DOS at the Fermi energy = 4.29 states/eV per cell


Record 10
The following is a DFT calculation (PBE) of a relaxed structure of LiTe2.

Lattice parameters (Å, degrees): 6.248 6.248 8.374 90.00 90.00 90.00
Space group I4/mcm (No. 140)
Unique sites:
Li 0.000 0.000 0.250 x4
Te 0.166 0.334 0.000 x8

## Properties
formation energy (no corrections) = -0.40 eV/atom
distance to the lowest polymorph of the same formula = 0.19 eV/f.u.
DOS at the Fermi energy = 7.81 states/eV per cell


Record 11
The following is a DFT calculation (PBE) of a relaxed structure of TlVTe3Pd.

Lattice parameters (Å, degrees): 8.583 3.854 10.510 90.00 113.42 90.00
Space group P2_1/m (No. 11)
Unique sites:
Tl 0.223 0.250 0.212 x2
V 0.215 0.750 0.677 x2
Te 0.041 0.750 0.384 x2
Te 0.234 0.750 0.935 x2
Te 0.410 0.250 0.631 x2
Pd 0.426 0.250 0.887 x2

## Properties
formation energy (no corrections) = -0.33 eV/atom
DOS at the Fermi energy = 7.71 states/eV per cell


Record 12
The following is a DFT calculation (PBE) of a relaxed structure of PmTm3Fe8.

Lattice parameters (Å, degrees): 5.1236 5.1236 25.0915 90.00 90.00 120.00
Space group R3m (No. 160, hexagonal axes)
Unique sites:
Pm 0.0000 0.0000 0.0000 x3
Tm 0.0000 0.0000 0.3757 x3
Tm 0.0000 0.0000 0.5001 x3
Tm 0.0000 0.0000 0.8745 x3
Fe 0.0000 0.0000 0.1871 x3
Fe 0.0000 0.0000 0.6885 x3
Fe 0.0022 0.5011 0.4390 x9
Fe 0.1674 0.3347 0.2695 x9

## Properties
DOS at the Fermi energy = 47.81 states/eV per cell
formation energy from the elements = -94 meV per atom


Record 13
The following is a DFT calculation (PBE) of a relaxed structure of NbPbF3.

Lattice parameters (Å, degrees): 4.772 4.772 4.772 90.00 90.00 90.00
Space group Pm-3m (No. 221)
Unique sites:
Nb 0.000 0.000 0.000 x1
Pb 0.500 0.500 0.500 x1
F 0.000 0.500 0.500 x3

## Properties
formation energy (no corrections) = -0.87 eV/atom
distance to the lowest polymorph of the same formula = 3.68 eV/f.u.
DOS at the Fermi energy = 6.68 states/eV per cell


Record 14
The following is a DFT calculation (PBE) of a relaxed structure of AcVZn4.

Lattice parameters (Å, degrees): 7.737 7.737 7.737 90.00 90.00 90.00
Space group F-43m (No. 216)
Unique sites:
Ac 0.000 0.000 0.000 x4
V 0.250 0.250 0.250 x4
Zn 0.123 0.123 0.623 x16

## Properties
DOS at the Fermi energy = 15.81 states/eV per cell
formation energy from the elements = -9 meV per atom


Record 15
The following is a DFT calculation (PBE) of a relaxed structure of Sr2CaLa.

Lattice parameters (Å, degrees): 9.002 9.002 9.002 90.00 90.00 90.00
Space group Fm-3m (No. 225)
Unique sites:
Sr 0.250 0.250 0.250 x8
Ca 0.000 0.000 0.000 x4
La 0.000 0.000 0.500 x4

## Properties
distance to the lowest polymorph of the same formula = 0.21 eV/f.u.
DOS at the Fermi energy = 27.93 states/eV per cell
formation energy from the elements = 139 meV per atom


Record 16
The following is a DFT calculation (PBE) of a relaxed structure of La2Ce3SmP6.

Lattice parameters (Å, degrees): 7.191 12.456 7.198 90.00 109.46 90.00
Space group C2/m (No. 12)
Unique sites:
La 0.000 0.166 0.000 x4
Ce 0.000 0.000 0.500 x2
Ce 0.000 0.333 0.500 x4
Sm 0.000 0.500 0.000 x2
P 0.242 0.500 0.740 x4
P 0.249 0.164 0.740 x8

## Properties
DOS at the Fermi energy = 29.75 states/eV per cell
formation energy from the elements = -1535 meV per atom


Record 17
The following is a DFT calculation (PBE) of a relaxed structure of Er4CSe2S.

Lattice parameters (Å, degrees): 6.700 3.814 6.876 90.00 108.61 90.00
Space group P2/m (No. 10)
Unique sites:
Er 0.215 0.000 0.208 x2
Er 0.235 0.500 0.785 x2
C 0.000 0.500 0.000 x1
Se 0.000 0.000 0.500 x1
Se 0.500 0.500 0.500 x1
S 0.500 0.000 0.000 x1

## Properties
formation energy (no corrections) = -1.56 eV/atom
DOS at the Fermi energy = 2.20 states/eV per cell


Record 18
The following is a DFT calculation (PBE) of a relaxed structure of Sr2TlSiPd6.

Lattice parameters (Å, degrees): 5.725 9.000 8.494 90.00 90.00 90.00
Space group Pmmn (No. 59, origin choice 2)
Unique sites:
Sr 0.250 0.010 0.224 x4
Tl 0.250 0.750 0.787 x2
Si 0.250 0.250 0.720 x2
Pd 0.004 0.250 0.943 x4
Pd 0.010 0.750 0.498 x4
Pd 0.250 0.004 0.594 x4

## Properties
formation energy (no corrections) = -0.57 eV/atom
DOS at the Fermi energy = 5.88 states/eV per cell


Record 19
The following is a DFT calculation (PBE) of a relaxed structure of Rb2Mg2TlCl7.

Lattice parameters (Å, degrees): 5.054 5.054 26.336 90.00 90.00 90.00
Space group I4/mmm (No. 139)
Unique sites:
Rb 0.000 0.000 0.182 x4
Mg 0.000 0.000 0.403 x4
Tl 0.000 0.000 0.000 x2
Cl 0.000 0.000 0.309 x4
Cl 0.000 0.000 0.500 x2
Cl 0.000 0.500 0.094 x8

## Properties
formation energy (no corrections) = -1.76 eV/atom
DOS at the Fermi energy = 0.00 states/eV per cell


Record 20
The following is a DFT calculation (PBE) of a relaxed structure of AcHgBiIr.

Lattice parameters (Å, degrees): 7.466 7.466 7.466 90.00 90.00 90.00
Space group F-43m (No. 216)
Unique sites:
Ac 0.000 0.000 0.000 x4
Hg 0.250 0.250 0.250 x4
Bi 0.000 0.000 0.500 x4
Ir 0.250 0.250 0.750 x4

## Properties
DOS at the Fermi energy = 20.81 states/eV per cell
formation energy from the elements = -165 meV per atom


Record 21
The following is a DFT calculation (PBE) of a relaxed structure of ZrSc2SiH.

Lattice parameters (Å, degrees): 5.314 5.314 3.551 90.00 90.00 90.00
Space group P4/mmm (No. 123)
Unique sites:
Zr 0.000 0.000 0.000 x1
Sc 0.000 0.500 0.000 x2
Si 0.500 0.500 0.500 x1
H 0.000 0.000 0.500 x1

## Properties
distance to the lowest polymorph of the same formula = 5.18 eV/f.u.
DOS at the Fermi energy = 5.79 states/eV per cell


Record 22
The following is a DFT calculation (PBE) of a relaxed structure of EuDy2Ho.

Lattice parameters (Å, degrees): 8.099 8.099 8.099 90.00 90.00 90.00
Space group Fm-3m (No. 225)
Unique sites:
Eu 0.000 0.000 0.000 x4
Dy 0.250 0.250 0.250 x8
Ho 0.000 0.000 0.500 x4

## Properties
distance to the lowest polymorph of the same formula = 0.43 eV/f.u.
DOS at the Fermi energy = 29.82 states/eV per cell
formation energy from the elements = 166 meV per atom


Record 23
The following is a DFT calculation (PBE) of a relaxed structure of UAl2Se6.

Lattice parameters (Å, degrees): 12.820 11.654 6.965 90.00 99.36 90.00
Space group C2/c (No. 15)
Unique sites:
U 0.000 0.104 0.250 x4
Al 0.182 0.432 0.341 x8
Se 0.119 0.073 0.619 x8
Se 0.123 0.408 0.644 x8
Se 0.136 0.255 0.159 x8

## Properties
formation energy (no corrections) = -0.72 eV/atom
DOS at the Fermi energy = 27.34 states/eV per cell


no.,volume (Å³/atom),uncorrected energy (eV/atom)
1,21.34,-3.746
2,24.88,-4.775
3,24.36,-4.512
4,32.86,-5.012
5,30.94,-6.042
6,24.52,-3.542
7,18.27,-6.529
8,15.98,-3.673
9,24.21,-5.163
10,27.24,-3.133
11,26.58,-4.677
12,15.85,-7.249
13,21.73,-4.749
14,19.29,-3.063
15,45.59,-2.434
16,25.32,-6.937
17,20.82,-6.380
18,21.88,-4.800
19,28.03,-3.456
20,26.01,-4.453
21,20.05,-5.416
22,33.21,-5.848
23,28.52,-5.125